An optimized crystal structure of TbHoInCu2, computed with PBE-GGA.

a = 3.5923 Å, b = 4.2636 Å, c = 13.9653 Å
α = 90.00°, β = 90.00°, γ = 90.00°
Closest atoms and distances in Å follow each position.
Space group Amm2 (No. 38)
Unique sites:
Tb (0.0000, 0.0000, 0.0000) [2 per cell]  6 Cu 2.94-2.95
Ho (0.0000, 0.0000, 0.2665) [2 per cell]  6 Cu 2.92-2.94
In (0.5000, 0.0000, 0.6337) [2 per cell]  2 Cu 2.79-2.83
Cu (0.5000, 0.0000, 0.4311) [2 per cell]  2 Cu 2.53, 1 In 2.83
Cu (0.5000, 0.0000, 0.8332) [2 per cell]  2 Cu 2.53, 1 In 2.79

total energy: -4.2581 eV per atom